# TlIn2Te

TlIn2Te after structural relaxation (GGA-PBE, Alexandria via LeMat-Bulk).

Values from the calculation:
formation energy without anion corrections	-20	meV/atom

The structure in CIF format:
```
data_TlIn2Te
_chemical_formula_sum 'Tl4 In8 Te4'
_space_group_name_H-M_alt 'F -4 3 m'
_space_group_IT_number 216
_space_group_name_Hall 'F -4 2 3'
_cell_length_a 7.928
_cell_length_b 7.928
_cell_length_c 7.928
_cell_angle_alpha 90.00
_cell_angle_beta 90.00
_cell_angle_gamma 90.00
loop_
_atom_site_label
_atom_site_type_symbol
_atom_site_fract_x
_atom_site_fract_y
_atom_site_fract_z
_atom_site_occupancy
Tl1 Tl 0.000 0.000 0.000 1
In1 In 0.000 0.000 0.500 1
In2 In 0.250 0.250 0.750 1
Te1 Te 0.250 0.250 0.250 1
```

# TlIn2Te2

TlIn2Te2 after structural relaxation (GGA-PBE, Alexandria via LeMat-Bulk).

Values from the calculation:
formation energy without anion corrections	-236	meV/atom

The structure in CIF format:
```
data_TlIn2Te2
_chemical_formula_sum 'Tl2 In4 Te4'
_space_group_name_H-M_alt 'I 4/m m m'
_space_group_IT_number 139
_space_group_name_Hall '-I 4 2'
_cell_length_a 5.843
_cell_length_b 5.843
_cell_length_c 9.766
_cell_angle_alpha 90.00
_cell_angle_beta 90.00
_cell_angle_gamma 90.00
loop_
_atom_site_label
_atom_site_type_symbol
_atom_site_fract_x
_atom_site_fract_y
_atom_site_fract_z
_atom_site_occupancy
Tl1 Tl 0.000 0.000 0.000 1
In1 In 0.000 0.000 0.350 1
Te1 Te 0.000 0.500 0.250 1
```

# TlIn2Te

TlIn2Te after structural relaxation (GGA-PBE, Alexandria via LeMat-Bulk).

Values from the calculation:
formation energy without anion corrections	-60	meV/atom

The structure in CIF format:
```
data_TlIn2Te
_chemical_formula_sum 'Tl1 In2 Te1'
_space_group_name_H-M_alt 'P 1 m 1'
_space_group_IT_number 6
_space_group_name_Hall 'P -2y'
_cell_length_a 3.188
_cell_length_b 5.862
_cell_length_c 6.412
_cell_angle_alpha 90.00
_cell_angle_beta 90.44
_cell_angle_gamma 90.00
loop_
_atom_site_label
_atom_site_type_symbol
_atom_site_fract_x
_atom_site_fract_y
_atom_site_fract_z
_atom_site_occupancy
Tl1 Tl 0.000 0.000 0.000 1
In1 In 0.458 0.000 0.512 1
In2 In 0.541 0.500 0.794 1
Te1 Te 0.461 0.500 0.298 1
```

Which of these has the highest formation energy without anion corrections?
number 1

Which of these has the lowest formation energy without anion corrections?
TlIn2Te2

What is the formula in the first record?
TlIn2Te